[1]
## GaTcAg2 (PBE)

Data for an optimized crystal structure of GaTcAg2.

It has space group F-43m (No. 216), with a = 6.386 Å, b = 6.386 Å, c = 6.386 Å, α = 90.00°, β = 90.00° and γ = 90.00°. The asymmetric unit holds Ga at (0.000, 0.000, 0.000), Tc at (0.250, 0.250, 0.250), Ag at (0.000, 0.000, 0.500) and Ag at (0.250, 0.250, 0.750).

The value obtained for the total energy is -4.43 eV/atom.



[2]
## Ga2Tc2Ag (PBE)

Data for an optimized crystal structure of Ga2Tc2Ag.

It has space group I4/mmm (No. 139), with a = 3.743 Å, b = 3.743 Å, c = 12.072 Å, α = 90.00°, β = 90.00° and γ = 90.00°. The asymmetric unit holds Ga at (0.000, 0.500, 0.250), Tc at (0.000, 0.000, 0.098) and Ag at (0.000, 0.000, 0.500).

The energy above the most stable polymorph in this dataset comes out at 3.22 kcal/mol of atoms. The value obtained for the total energy is -5.46 eV/atom.